[1]
The following is a DFT calculation (PBE-GGA) of a relaxed Ce3Sb crystal.

- distance to the lowest polymorph of the same formula (meV/atom) = 66
- total magnetization (μB per atom) = 0.586
- formation energy without anion corrections (meV/atom) = -501

Lattice parameters (Å, degrees): 4.6928 4.6928 9.7125 90.00 90.00 90.00
Space group I4/mmm (No. 139)
Symmetry-distinct sites (fractional):
Ce  0.0000  0.0000  0.0000 [2 per cell]
Ce  0.0000  0.5000  0.2500 [4 per cell]
Sb  0.0000  0.0000  0.5000 [2 per cell]


[2]
The following is a DFT calculation (PBE-GGA) of a relaxed ScHg2Te crystal.

- total magnetization (μB per atom) = 0.000
- formation energy without anion corrections (meV/atom) = -307

Lattice parameters (Å, degrees): 8.5208 8.5208 5.8455 90.00 90.00 90.00
Space group I-42d (No. 122)
Symmetry-distinct sites (fractional):
Sc  0.0000  0.0000  0.0000 [4 per cell]
Hg  0.2321  0.2500  0.1250 [8 per cell]
Te  0.0000  0.0000  0.5000 [4 per cell]


[3]
The following is a DFT calculation (PBE-GGA) of a relaxed BaLiLa2H crystal.

- distance to the lowest polymorph of the same formula (meV/atom) = 721
- total magnetization (μB per atom) = 0.222

Lattice parameters (Å, degrees): 6.3839 6.3839 4.4425 90.00 90.00 90.00
Space group P4/mmm (No. 123)
Symmetry-distinct sites (fractional):
Ba  0.0000  0.0000  0.0000 [1 per cell]
Li  0.5000  0.5000  0.5000 [1 per cell]
La  0.0000  0.5000  0.0000 [2 per cell]
H  0.0000  0.0000  0.5000 [1 per cell]


[4]
The following is a DFT calculation (PBE-GGA) of a relaxed RbCuW crystal.

- distance to the lowest polymorph of the same formula (meV/atom) = 317
- total magnetization (μB per atom) = 0.000
- ΔE_f (meV per atom) = 1010

Lattice parameters (Å, degrees): 9.1192 3.2693 11.6935 90.00 90.00 90.00
Space group Pnma (No. 62)
Symmetry-distinct sites (fractional):
Rb  0.0657  0.2500  0.1751 [4 per cell]
Cu  0.2226  0.7500  0.4127 [4 per cell]
W  0.0833  0.2500  0.5398 [4 per cell]